No. 1
## Tl2GaSbN (SCAN)

Data for a crystal of Tl2GaSbN relaxed with PBEsol.

```
Tl2GaSbN
1.0
4.1390 0.0000 0.0000
0.0000 5.4736 0.0000
0.0000 0.0000 5.4736
Sb Tl Ga N
1 2 1 1
direct
0.5000 0.0000 0.0000
0.0000 0.0000 0.5000
0.0000 0.5000 0.0000
0.5000 0.5000 0.5000
0.0000 0.0000 0.0000
```

Values from the calculation:
Raw formation energy ... 0.6804 eV per atom



No. 2
## HfCd2Ag (SCAN)

Data for a crystal of HfCd2Ag relaxed with PBEsol.

```
HfCd2Ag
1.0
4.7499 0.0000 0.0000
2.3750 4.1135 0.0000
2.3750 1.3712 3.8783
Hf Ag Cd
1 1 2
direct
0.5000 0.5000 0.5000
0.0000 0.0000 0.0000
0.2500 0.2500 0.2500
0.7500 0.7500 0.7500
```

Values from the calculation:
Formation energy ... 82 meV/atom



No. 3
## TaZnAs2 (SCAN)

Data for a crystal of TaZnAs2 relaxed with PBEsol.

```
TaZnAs2
1.0
-2.7645 1.7249 -3.1955
-3.2043 -2.6313 -1.9074
-4.4062 0.7238 0.9435
As Ta Zn
2 1 1
direct
0.0000 0.0000 0.0000
0.7500 0.7500 0.7500
0.5000 0.5000 0.5000
0.2500 0.2500 0.2500
```

Values from the calculation:
Formation energy ... 530 meV/atom



No. 4
## SrCu2Pt (SCAN)

Data for a crystal of SrCu2Pt relaxed with PBEsol.

```
SrCu2Pt
1.0
4.0001 0.0000 0.0000
0.0000 4.1313 0.0000
0.0000 0.0000 4.1313
Cu Pt Sr
2 1 1
direct
0.0000 0.0000 0.5000
0.0000 0.5000 0.0000
0.5000 0.5000 0.5000
0.5000 0.0000 0.0000
```

Values from the calculation:
Formation energy ... 24 meV/atom
Offset from the most stable computed form ... 1.77 eV per formula unit



- What is the formula in the fourth record?
  SrCu2Pt